Entry 1:
Compound: ScSeIN2
Source: Alexandria
Functional: GGA-PBE
Structure: relaxed

Cell lengths 4.061, 4.061, 5.532 Å; angles 90.00, 90.00, 90.00 degrees
Atoms (fractional coordinates):
N: 0.500 0.000 0.000
Se: 0.000 0.000 0.500
Sc: 0.500 0.500 0.500
N: 0.000 0.500 0.000
I: 0.000 0.000 0.000

Computed properties:
* energy: -22.295 eV per cell
* space-group type: P4/mmm
* distance to the lowest polymorph of the same formula: 457.8 meV per atom
* formation energy (no corrections): 1.144 eV per atom
* ρ: 5.074 g cm⁻³

***

Entry 2:
Compound: ScSeI2N
Source: Alexandria
Functional: GGA-PBE
Structure: relaxed

Cell lengths 6.083, 6.083, 3.709 Å; angles 90.00, 90.00, 90.00 degrees
Atoms (fractional coordinates):
I: 0.000 0.500 0.000
Sc: 0.500 0.500 0.500
I: 0.500 0.000 0.000
Se: 0.000 0.000 0.000
N: 0.000 0.000 0.500

Computed properties:
* energy: -18.214 eV per cell
* space-group type: P4/mmm
* distance to the lowest polymorph of the same formula: 388.1 meV per atom
* formation energy (no corrections): 0.606 eV per atom
* ρ: 4.740 g cm⁻³

***

Entry 3:
Compound: ScSeI2N
Source: Alexandria
Functional: GGA-PBE
Structure: relaxed

Cell lengths 5.887, 5.887, 3.916 Å; angles 90.00, 90.00, 90.00 degrees
Atoms (fractional coordinates):
I: 0.500 0.000 0.000
Sc: 0.000 0.000 0.000
I: 0.000 0.500 0.000
N: 0.000 0.000 0.500
Se: 0.500 0.500 0.500

Computed properties:
* energy: -20.154 eV per cell
* space-group type: P4/mmm
* distance to the lowest polymorph of the same formula: 0.0 meV per atom
* formation energy (no corrections): 0.218 eV per atom
* ρ: 4.793 g cm⁻³

***

Entry 4:
Compound: ScSeIN2
Source: Alexandria
Functional: GGA-PBE
Structure: relaxed

Cell lengths 4.288, 4.288, 6.194 Å; angles 90.00, 90.00, 90.00 degrees
Last column: magnetic moment on the atom in μB.
Atoms (fractional coordinates):
I: 0.000 0.000 0.500  0.03
Sc: 0.000 0.000 0.000  0.00
N: 0.500 0.000 0.000  1.06
Se: 0.500 0.500 0.500  0.18
N: 0.000 0.500 0.000  1.06

Computed properties:
* energy: -23.995 eV per cell
* space-group type: P4/mmm
* distance to the lowest polymorph of the same formula: 117.8 meV per atom
* formation energy (no corrections): 0.804 eV per atom
* ρ: 4.065 g cm⁻³

***

Entry 5:
Compound: ScSeIN2
Source: Alexandria
Functional: GGA-PBE
Structure: relaxed

Cell lengths 4.324, 4.324, 5.739 Å; angles 90.00, 90.00, 90.00 degrees
Last column: magnetic moment on the atom in μB.
Atoms (fractional coordinates):
N: 0.000 0.500 0.000  1.08
I: 0.500 0.500 0.500  0.13
Sc: 0.000 0.000 0.000  0.00
N: 0.500 0.000 0.000  1.08
Se: 0.000 0.000 0.500  0.07

Computed properties:
* energy: -24.584 eV per cell
* space-group type: P4/mmm
* distance to the lowest polymorph of the same formula: 0.0 meV per atom
* formation energy (no corrections): 0.687 eV per atom
* ρ: 4.316 g cm⁻³

***

Entry 6:
Compound: ScSeIN2
Source: Alexandria
Functional: GGA-PBE
Structure: relaxed

Cell lengths 4.058, 4.058, 5.419 Å; angles 90.00, 90.00, 90.00 degrees
Atoms (fractional coordinates):
N: 0.500 0.000 0.000
I: 0.000 0.000 0.500
Sc: 0.500 0.500 0.500
N: 0.000 0.500 0.000
Se: 0.000 0.000 0.000

Computed properties:
* energy: -21.654 eV per cell
* space-group type: P4/mmm
* distance to the lowest polymorph of the same formula: 586.0 meV per atom
* formation energy (no corrections): 1.273 eV per atom
* ρ: 5.189 g cm⁻³

***

Entry 7:
Compound: ScSi2IN
Source: Alexandria
Functional: GGA-PBE
Structure: relaxed

Cell lengths 5.412, 4.009, 5.412 Å; angles 90.00, 90.00, 90.00 degrees
Atoms (fractional coordinates):
I: 0.500 0.500 0.500
Sc: 0.000 0.000 0.000
Si: 0.500 0.000 0.000
Si: 0.000 0.000 0.500
N: 0.000 0.500 0.000

Computed properties:
* energy: -23.233 eV per cell
* space-group type: P4/mmm
* formation energy (no corrections): 0.764 eV per atom
* ρ: 3.422 g cm⁻³

***

Entry 8:
Compound: ScSnI2N
Source: Alexandria
Functional: GGA-PBE
Structure: relaxed

Cell lengths 6.180, 6.180, 3.908 Å; angles 90.00, 90.00, 90.00 degrees
Last column: magnetic moment on the atom in μB.
Atoms (fractional coordinates):
Sc: 0.500 0.500 0.500  0.92
Sn: 0.000 0.000 0.000  0.01
I: 0.500 0.000 0.000  -0.01
I: 0.000 0.500 0.000  -0.01
N: 0.000 0.000 0.500  0.00

Computed properties:
* energy: -19.498 eV per cell
* space-group type: P4/mmm
* distance to the lowest polymorph of the same formula: 615.6 meV per atom
* formation energy (no corrections): 0.452 eV per atom
* ρ: 4.801 g cm⁻³

***

Entry 9:
Compound: ScSnI2N
Source: Alexandria
Functional: GGA-PBE
Structure: relaxed

Cell lengths 6.007, 6.007, 3.924 Å; angles 90.00, 90.00, 90.00 degrees
Last column: magnetic moment on the atom in μB.
Atoms (fractional coordinates):
I: 0.500 0.000 0.000  0.00
Sc: 0.000 0.000 0.000  0.03
Sn: 0.500 0.500 0.500  0.00
N: 0.000 0.000 0.500  0.17
I: 0.000 0.500 0.000  0.00

Computed properties:
* energy: -22.576 eV per cell
* space-group type: P4/mmm
* distance to the lowest polymorph of the same formula: 0.0 meV per atom
* formation energy (no corrections): -0.163 eV per atom
* ρ: 5.061 g cm⁻³

***

Entry 10:
Compound: SrScIN2
Source: Alexandria
Functional: GGA-PBE
Structure: relaxed

Cell lengths 4.365, 4.365, 5.719 Å; angles 90.00, 90.00, 90.00 degrees
Atoms (fractional coordinates):
Sc: 0.000 0.000 0.000
N: 0.500 0.000 0.000
I: 0.000 0.000 0.500
Sr: 0.500 0.500 0.500
N: 0.000 0.500 0.000

Computed properties:
* energy: -27.132 eV per cell
* space-group type: P4/mmm
* distance to the lowest polymorph of the same formula: 0.0 meV per atom
* formation energy (no corrections): -0.184 eV per atom
* ρ: 4.380 g cm⁻³

***

Entry 11:
Compound: SrScIN2
Source: Alexandria
Functional: GGA-PBE
Structure: relaxed

Cell lengths 4.727, 4.727, 6.120 Å; angles 90.00, 90.00, 90.00 degrees
Last column: magnetic moment on the atom in μB.
Atoms (fractional coordinates):
Sc: 0.500 0.500 0.500  -0.88
N: 0.500 0.000 0.000  1.09
N: 0.000 0.500 0.000  1.09
I: 0.000 0.000 0.500  0.02
Sr: 0.000 0.000 0.000  0.07

Computed properties:
* energy: -20.909 eV per cell
* space-group type: P4/mmm
* distance to the lowest polymorph of the same formula: 1244.7 meV per atom
* formation energy (no corrections): 1.061 eV per atom
* ρ: 3.491 g cm⁻³

***

Entry 12:
Compound: SrScI2N
Source: Alexandria
Functional: GGA-PBE
Structure: relaxed

Cell lengths 5.999, 5.999, 4.026 Å; angles 90.00, 90.00, 90.00 degrees
Atoms (fractional coordinates):
N: 0.000 0.000 0.500
I: 0.500 0.000 0.000
Sr: 0.500 0.500 0.500
I: 0.000 0.500 0.000
Sc: 0.000 0.000 0.000

Computed properties:
* energy: -23.514 eV per cell
* space-group type: P4/mmm
* distance to the lowest polymorph of the same formula: 0.0 meV per atom
* formation energy (no corrections): -0.815 eV per atom
* ρ: 4.589 g cm⁻³

***

Entry 13:
Compound: SrScI2N
Source: Alexandria
Functional: GGA-PBE
Structure: relaxed

Cell lengths 6.278, 6.278, 4.356 Å; angles 90.00, 90.00, 90.00 degrees
Last column: magnetic moment on the atom in μB.
Atoms (fractional coordinates):
Sc: 0.500 0.500 0.500  0.89
Sr: 0.000 0.000 0.000  -0.01
I: 0.000 0.500 0.000  0.00
N: 0.000 0.000 0.500  0.25
I: 0.500 0.000 0.000  0.00

Computed properties:
* energy: -18.015 eV per cell
* space-group type: P4/mmm
* distance to the lowest polymorph of the same formula: 1099.8 meV per atom
* formation energy (no corrections): 0.285 eV per atom
* ρ: 3.872 g cm⁻³

***

Entry 14:
Compound: ScTaIN2
Source: Alexandria
Functional: GGA-PBE
Structure: relaxed

Cell lengths 4.091, 4.091, 5.589 Å; angles 90.00, 90.00, 90.00 degrees
Atoms (fractional coordinates):
N: 0.500 0.000 0.000
I: 0.000 0.000 0.500
Sc: 0.500 0.500 0.500
Ta: 0.000 0.000 0.000
N: 0.000 0.500 0.000

Computed properties:
* energy: -35.669 eV per cell
* space-group type: P4/mmm
* distance to the lowest polymorph of the same formula: 0.0 meV per atom
* formation energy (no corrections): 0.143 eV per atom
* ρ: 6.762 g cm⁻³